1.
A geometry-optimized Er4Th2Sc3 structure. Source: Alexandria, functional PBE-GGA.

- Energy of formation: 0.12 eV/atom
- Space group: No. 15
- M_tot: 0.00 μB/cell
- Final energy: -5.67 eV/atom
- Energy above the lowest structure with this stoichiometry: 77 meV/atom

a = 9.630 Å, b = 9.630 Å, c = 5.943 Å
α = 95.46°, β = 95.46°, γ = 71.92°
Positions (direct):
Er: 0.085 0.814 0.987
Er: 0.143 0.417 0.159
Er: 0.186 0.915 0.513
Er: 0.417 0.143 0.659
Er: 0.583 0.857 0.341
Er: 0.814 0.085 0.487
Er: 0.857 0.583 0.841
Er: 0.915 0.186 0.013
Th: 0.252 0.527 0.687
Th: 0.473 0.748 0.813
Th: 0.527 0.252 0.187
Th: 0.748 0.473 0.313
Sc: 0.061 0.273 0.586
Sc: 0.273 0.061 0.086
Sc: 0.389 0.611 0.250
Sc: 0.611 0.389 0.750
Sc: 0.727 0.939 0.914
Sc: 0.939 0.727 0.414

---

2.
A geometry-optimized CsAuF2 structure. Source: Alexandria, functional PBE-GGA.

- Space group: No. 194
- M_tot: 0.03 μB/cell
- Final energy: -3.69 eV/atom
- Energy above the lowest structure with this stoichiometry: 0 meV/atom
- Formation energy from raw total energies: -1.72 eV/atom

a = 4.703 Å, b = 4.703 Å, c = 13.337 Å
α = 90.00°, β = 90.00°, γ = 120.00°
Positions (direct):
Cs: 0.000 0.000 0.000
Cs: 0.000 0.000 0.500
Au: 0.333 0.667 0.250
Au: 0.667 0.333 0.750
F: 0.333 0.667 0.099
F: 0.333 0.667 0.401
F: 0.667 0.333 0.599
F: 0.667 0.333 0.901

---

3.
A geometry-optimized Pa4Se3S4 structure. Source: Alexandria, functional PBE-GGA.

- Space group: No. 71
- M_tot: 4.82 μB/cell
- Final energy: -7.42 eV/atom
- Formation energy from raw total energies: -1.51 eV/atom

a = 9.085 Å, b = 9.085 Å, c = 9.085 Å
α = 155.44°, β = 126.80°, γ = 59.43°
Positions (direct):
Pa: 0.225 0.000 0.225
Pa: 0.249 0.249 0.000
Pa: 0.751 0.751 0.000
Pa: 0.775 0.000 0.775
Se: 0.098 0.598 0.500
Se: 0.500 0.500 0.000
Se: 0.902 0.402 0.500
S: 0.137 0.830 0.307
S: 0.478 0.170 0.307
S: 0.522 0.830 0.693
S: 0.863 0.170 0.693

---

4.
A geometry-optimized Sm6RuPt2 structure. Source: Alexandria, functional PBE-GGA.

- Energy of formation: -0.62 eV/atom
- Space group: No. 14
- M_tot: 0.00 μB/cell
- Final energy: -6.14 eV/atom

a = 6.736 Å, b = 7.430 Å, c = 11.925 Å
α = 90.00°, β = 120.93°, γ = 90.00°
Positions (direct):
Sm: 0.093 0.045 0.251
Sm: 0.093 0.455 0.751
Sm: 0.249 0.679 0.074
Sm: 0.249 0.821 0.574
Sm: 0.398 0.181 0.067
Sm: 0.398 0.319 0.567
Sm: 0.602 0.681 0.433
Sm: 0.602 0.819 0.933
Sm: 0.751 0.179 0.426
Sm: 0.751 0.321 0.926
Sm: 0.907 0.545 0.249
Sm: 0.907 0.955 0.749
Ru: 0.000 0.000 0.000
Ru: 0.000 0.500 0.500
Pt: 0.320 0.115 0.765
Pt: 0.320 0.385 0.265
Pt: 0.680 0.615 0.735
Pt: 0.680 0.885 0.235

---

5.
A geometry-optimized YNiCl3 structure. Source: Alexandria, functional PBE-GGA.

- Space group: No. 221
- M_tot: 0.00 μB/cell
- Final energy: -4.28 eV/atom
- Energy above the lowest structure with this stoichiometry: 102 meV/atom
- Formation energy from raw total energies: -0.73 eV/atom

a = 4.642 Å, b = 4.642 Å, c = 4.642 Å
α = 90.00°, β = 90.00°, γ = 90.00°
Positions (direct):
Y: 0.000 0.000 0.000
Ni: 0.500 0.500 0.500
Cl: 0.000 0.500 0.500
Cl: 0.500 0.000 0.500
Cl: 0.500 0.500 0.000

---

6.
A geometry-optimized Mn2NiMo structure. Source: Alexandria, functional PBE-GGA.

- Energy of formation: 0.14 eV/atom
- Space group: No. 8
- M_tot: 0.38 μB/cell
- Final energy: -8.60 eV/atom

a = 4.523 Å, b = 4.523 Å, c = 4.525 Å
α = 100.49°, β = 100.49°, γ = 34.09°
Positions (direct):
Mn: 0.000 0.000 0.000
Mn: 0.745 0.745 0.215
Ni: 0.490 0.490 0.479
Mo: 0.243 0.243 0.711